# 1
DFT (GGA-PBEsol) results for CdInTc2Ge after structural relaxation.

```
CdInTc2Ge
1.0
4.615 0.000 0.000
0.000 4.615 0.000
0.000 0.000 4.722
Cd In Tc Ge
1 1 2 1
direct
0.000 0.000 0.000
0.500 0.500 0.000
0.000 0.500 0.500
0.500 0.000 0.500
0.000 0.000 0.500
```

Summary:
- energy of formation from the pure elements (eV per atom) = 1.0395
- crystal system = tetragonal
- total moment (μB/f.u.) = 2.2



# 2
DFT (GGA-PBEsol) results for CdGe3Ir after structural relaxation.

```
CdGe3Ir
1.0
4.859 0.000 0.000
0.000 4.859 0.000
0.000 0.000 4.859
Cd Ge Ir
1 3 1
direct
0.000 0.000 0.000
0.000 0.000 0.500
0.000 0.500 0.000
0.500 0.000 0.000
0.500 0.500 0.500
```

Summary:
- energy of formation from the pure elements (eV per atom) = 1.5683
- crystal system = cubic
- total moment (μB/f.u.) = 0.0



# 3
DFT (GGA-PBEsol) results for MnCdGeIr2 after structural relaxation.

```
MnCdGeIr2
1.0
4.527 0.000 0.000
0.000 4.527 0.000
0.000 0.000 4.479
Mn Cd Ge Ir
1 1 1 2
direct
0.000 0.000 0.000
0.500 0.500 0.000
0.000 0.000 0.500
0.000 0.500 0.500
0.500 0.000 0.500
```

Summary:
- energy of formation from the pure elements (eV per atom) = 0.8418
- crystal system = tetragonal
- total moment (μB/f.u.) = 3.9



# 4
DFT (GGA-PBEsol) results for KCd2Ge2 after structural relaxation.

```
KCd2Ge2
1.0
4.588 0.000 0.000
0.000 4.588 0.000
0.000 0.000 11.189
K Cd Ge
2 4 4
direct
0.000 0.000 0.000
0.500 0.500 0.500
0.000 0.500 0.250
0.000 0.500 0.750
0.500 0.000 0.250
0.500 0.000 0.750
0.000 0.000 0.389
0.000 0.000 0.611
0.500 0.500 0.111
0.500 0.500 0.889
```

Summary:
- energy of formation from the pure elements (eV per atom) = -0.1079
- crystal system = tetragonal
- total moment (μB/f.u.) = 0.0



# 5
DFT (GGA-PBEsol) results for K2CdGeO4 after structural relaxation.

```
K2CdGeO4
1.0
11.509 0.000 0.000
0.000 5.745 0.000
0.000 0.000 16.085
K Cd Ge O
16 8 8 32
direct
0.008 0.014 0.116
0.016 0.506 0.500
0.225 0.545 0.873
0.236 0.043 0.739
0.264 0.043 0.239
0.275 0.545 0.373
0.484 0.506 0.000
0.492 0.014 0.616
0.508 0.986 0.116
0.516 0.494 0.500
0.725 0.455 0.873
0.736 0.957 0.739
0.764 0.957 0.239
0.775 0.455 0.373
0.984 0.494 0.000
0.992 0.986 0.616
0.015 0.517 0.246
0.240 0.038 0.994
0.260 0.038 0.494
0.485 0.517 0.746
0.515 0.483 0.246
0.740 0.962 0.994
0.760 0.962 0.494
0.985 0.483 0.746
0.010 0.027 0.368
0.234 0.521 0.626
0.266 0.521 0.126
0.490 0.027 0.868
0.510 0.973 0.368
0.734 0.479 0.626
0.766 0.479 0.126
0.990 0.973 0.868
0.010 0.278 0.860
0.033 0.842 0.773
0.078 0.876 0.952
0.107 0.360 0.651
0.155 0.123 0.387
0.176 0.332 0.067
0.185 0.769 0.571
0.193 0.605 0.218
0.307 0.605 0.718
0.315 0.769 0.071
0.324 0.332 0.567
0.345 0.123 0.887
0.393 0.360 0.151
0.422 0.876 0.452
0.467 0.842 0.273
0.490 0.278 0.360
0.510 0.722 0.860
0.533 0.158 0.773
0.578 0.124 0.952
0.607 0.640 0.651
0.655 0.877 0.387
0.676 0.668 0.067
0.685 0.231 0.571
0.693 0.395 0.218
0.807 0.395 0.718
0.815 0.231 0.071
0.824 0.668 0.567
0.845 0.877 0.887
0.893 0.640 0.151
0.922 0.124 0.452
0.967 0.158 0.273
0.990 0.722 0.360
```

Summary:
- crystal system = orthorhombic
- formation energy (no corrections) (eV/atom) = -1.602
- total moment (μB/f.u.) = 0.0



# 6
DFT (GGA-PBEsol) results for La3CdGe after structural relaxation.

```
La3CdGe
1.0
5.674 0.000 0.000
0.000 5.674 0.000
0.000 0.000 5.674
La Cd Ge
3 1 1
direct
0.000 0.000 0.500
0.000 0.500 0.000
0.500 0.000 0.000
0.500 0.500 0.500
0.000 0.000 0.000
```

Summary:
- energy of formation from the pure elements (eV per atom) = -0.0780
- crystal system = cubic
- total moment (μB/f.u.) = 0.0



# 7
DFT (GGA-PBEsol) results for LaCd2Ge2 after structural relaxation.

```
LaCd2Ge2
1.0
4.725 0.000 0.000
0.000 4.725 0.000
0.000 0.000 10.296
La Cd Ge
2 4 4
direct
0.000 0.000 0.000
0.500 0.500 0.500
0.000 0.000 0.373
0.000 0.000 0.627
0.500 0.500 0.127
0.500 0.500 0.873
0.000 0.500 0.250
0.000 0.500 0.750
0.500 0.000 0.250
0.500 0.000 0.750
```

Summary:
- energy of formation from the pure elements (eV per atom) = -0.3012
- crystal system = tetragonal
- total moment (μB/f.u.) = 0.0



# 8
DFT (GGA-PBEsol) results for LaCd2Ge2 after structural relaxation.

```
LaCd2Ge2
1.0
4.267 0.000 0.000
0.000 4.267 0.000
0.000 0.000 12.170
La Cd Ge
2 4 4
direct
0.000 0.000 0.000
0.500 0.500 0.500
0.000 0.500 0.250
0.000 0.500 0.750
0.500 0.000 0.250
0.500 0.000 0.750
0.000 0.000 0.397
0.000 0.000 0.603
0.500 0.500 0.103
0.500 0.500 0.897
```

Summary:
- energy of formation from the pure elements (eV per atom) = -0.4335
- crystal system = tetragonal
- total moment (μB/f.u.) = 0.0



In order of appearance, DFT total energy = -5.291; -3.599; -6.267; -2.789; -5.277; -4.513; -3.825; -3.957 eV/atom.